(1)
Entry from Alexandria: crystalline CePmAlPb at its relaxed geometry (GGA-PBE).

It has space group F-43m (No. 216), with a = 7.6559 Å, b = 7.6559 Å, c = 7.6559 Å, α = 90.00°, β = 90.00° and γ = 90.00°. The distinct sites, in fractional coordinates, are Ce at (0.0000, 0.0000, 0.0000), Pm at (0.0000, 0.0000, 0.5000), Al at (0.2500, 0.2500, 0.2500) and Pb at (0.2500, 0.2500, 0.7500).

As for the crystal system: cubic. The calculation puts the uncorrected energy at -4.834 eV per atom.

***

(2)
Entry from Alexandria: crystalline CaPm4Al4 at its relaxed geometry (GGA-PBE).

It has space group P4_2/n (No. 86, origin choice 2), with a = 8.9647 Å, b = 8.9647 Å, c = 5.9881 Å, α = 90.00°, β = 90.00° and γ = 90.00°. The distinct sites, in fractional coordinates, are Ca at (0.2500, 0.2500, 0.2500), Pm at (0.0843, 0.8266, 0.6312) and Al at (0.0602, 0.1565, 0.8480).

As for the crystal system: tetragonal. The calculation puts the uncorrected energy at -4.118 eV per atom.

***

(3)
Entry from Alexandria: crystalline PmHo2SeO8 at its relaxed geometry (GGA-PBE).

It has space group P2/m (No. 10), with a = 4.9476 Å, b = 6.8401 Å, c = 4.9515 Å, α = 90.00°, β = 90.49° and γ = 90.00°. The distinct sites, in fractional coordinates, are Pm at (0.0000, 0.0000, 0.0000), Ho at (0.5000, 0.2582, 0.5000), Se at (0.0000, 0.5000, 0.0000), O at (0.1794, 0.3054, 0.1802), O at (0.2611, 0.5000, 0.7401) and O at (0.3190, 0.0000, 0.6828).

The calculation puts the energy relative to the elements, uncorrected at -2.281 eV per atom. As for the crystal system: monoclinic. The calculation puts the uncorrected energy at -7.036 eV per atom.

***

(4)
Entry from Alexandria: crystalline LiTb2F6 at its relaxed geometry (GGA-PBE).

It has space group P2_1/c (No. 14), with a = 5.5429 Å, b = 6.3352 Å, c = 9.6725 Å, α = 90.00°, β = 124.70° and γ = 90.00°. The distinct sites, in fractional coordinates, are Li at (0.0000, 0.0000, 0.0000), Tb at (0.2632, 0.0015, 0.7626), F at (0.0281, 0.1838, 0.1895), F at (0.3221, 0.1370, 0.0007) and F at (0.3499, 0.6869, 0.6882).

The calculation puts the energy relative to the elements, uncorrected at -3.588 eV per atom. As for the crystal system: monoclinic. The calculation puts the uncorrected energy at -6.077 eV per atom.

***

(5)
Entry from Alexandria: crystalline TcSbO2 at its relaxed geometry (GGA-PBE).

It has space group R-3m (No. 166, hexagonal axes), with a = 2.9852 Å, b = 2.9852 Å, c = 21.2474 Å, α = 90.00°, β = 90.00° and γ = 120.00°. The distinct sites, in fractional coordinates, are Tc at (0.0000, 0.0000, 0.0000), Sb at (0.0000, 0.0000, 0.5000) and O at (0.0000, 0.0000, 0.3919).

The calculation puts the energy relative to the elements, uncorrected at -0.694 eV per atom. As for the crystal system: trigonal. The calculation puts the uncorrected energy at -6.796 eV per atom.

***

(6)
Entry from Alexandria: crystalline Al2NiIr at its relaxed geometry (GGA-PBE).

It has space group C2/m (No. 12), with a = 8.1976 Å, b = 2.8591 Å, c = 4.7285 Å, α = 90.00°, β = 102.19° and γ = 90.00°. The distinct sites, in fractional coordinates, are Al at (0.2483, 0.0000, 0.2450), Ni at (0.0000, 0.5000, 0.0000) and Ir at (0.0000, 0.0000, 0.5000).

As for the crystal system: monoclinic. The calculation puts the uncorrected energy at -6.053 eV per atom.

***

What did the fifth record say?
Entry from Alexandria: crystalline TcSbO2 at its relaxed geometry (GGA-PBE).

It has space group R-3m (No. 166, hexagonal axes), with a = 2.9852 Å, b = 2.9852 Å, c = 21.2474 Å, α = 90.00°, β = 90.00° and γ = 120.00°. The distinct sites, in fractional coordinates, are Tc at (0.0000, 0.0000, 0.0000), Sb at (0.0000, 0.0000, 0.5000) and O at (0.0000, 0.0000, 0.3919).

The calculation puts the energy relative to the elements, uncorrected at -0.694 eV per atom. As for the crystal system: trigonal. The calculation puts the uncorrected energy at -6.796 eV per atom.

***

Among the records above, which one has the lowest uncorrected energy?
PmHo2SeO8